# 1
{"formula": "SrMn3", "functional": "PBE-GGA", "state": "optimized geometry", "lattice_angstrom": [[-2.172, 2.172, 4.298], [2.172, -2.172, 4.298], [2.172, 2.172, -4.298]], "species": ["Sr", "Mn", "Mn", "Mn"], "fractional_positions": [[0.000, 0.000, 0.000], [0.250, 0.750, 0.500], [0.500, 0.500, 0.000], [0.750, 0.250, 0.500]], "energy_ev_per_atom": -6.4329, "formation_enthalpy_0k_mev_per_atom": 865, "space_group": "I4/mmm", "dos_at_fermi_per_ev_cell": 4.64}



# 2
{"formula": "SrMn3", "functional": "PBE-GGA", "state": "optimized geometry", "lattice_angstrom": [[3.190, 0.000, 0.000], [0.000, 3.190, 0.000], [0.000, 0.000, 7.653]], "species": ["Sr", "Mn", "Mn", "Mn"], "fractional_positions": [[0.000, 0.000, 0.000], [0.000, 0.000, 0.500], [0.500, 0.500, 0.331], [0.500, 0.500, 0.669]], "energy_ev_per_atom": -6.7588, "formation_enthalpy_0k_mev_per_atom": 539, "space_group": "P4/mmm", "dos_at_fermi_per_ev_cell": 4.60}



# 3
{"formula": "SrMn4", "functional": "PBE-GGA", "state": "optimized geometry", "lattice_angstrom": [[-3.689, 3.689, 1.320], [3.689, -3.689, 1.320], [3.689, 3.689, -1.320]], "species": ["Sr", "Mn", "Mn", "Mn", "Mn"], "fractional_positions": [[0.000, 0.000, 0.000], [0.134, 0.363, 0.497], [0.363, 0.866, 0.229], [0.637, 0.134, 0.771], [0.866, 0.637, 0.503]], "energy_ev_per_atom": -6.9813, "formation_enthalpy_0k_mev_per_atom": 691, "space_group": "I4/m", "dos_at_fermi_per_ev_cell": 7.47, "e_above_lowest_polymorph_ev_per_fu": 0.00}



# 4
{"formula": "Sr8Mn", "functional": "PBE-GGA", "state": "optimized geometry", "lattice_angstrom": [[-6.913, 6.913, 2.274], [6.913, -6.913, 2.274], [6.913, 6.913, -2.274]], "species": ["Sr", "Sr", "Sr", "Sr", "Sr", "Sr", "Sr", "Sr", "Mn"], "fractional_positions": [[0.000, 0.334, 0.334], [0.000, 0.666, 0.666], [0.334, 0.000, 0.334], [0.352, 0.352, 0.703], [0.352, 0.648, 0.000], [0.648, 0.352, 0.000], [0.648, 0.648, 0.297], [0.666, 0.000, 0.666], [0.000, 0.000, 0.000]], "energy_ev_per_atom": -2.3179, "formation_enthalpy_0k_mev_per_atom": 196, "space_group": "I4/mmm", "dos_at_fermi_per_ev_cell": 10.91}